Version a
DFT (PBE+U) results for a relaxed structure of VTcOF2.

Calculated values
- symmetry = P4/mmm, No. 123

The structure in POSCAR format:
```
VTcOF2
1.0
4.317 0.000 0.000
0.000 4.317 0.000
0.000 0.000 3.766
V O F Tc
1 1 2 1
Direct
0.500 0.500 0.500
0.000 0.000 0.500
0.000 0.500 0.000
0.500 0.000 0.000
0.000 0.000 0.000
```

=====

Version b
DFT (PBE+U) results for a relaxed structure of VTcOF2.

Calculated values
- symmetry = P4/mmm, No. 123

The structure in POSCAR format:
```
VTcOF2
1.0
-1.123 0.256 3.980
2.829 -2.864 0.982
2.621 2.780 0.561
Tc O V F
1 1 1 2
Direct
0.500 0.500 0.500
0.000 0.000 0.500
0.000 0.000 0.000
0.500 0.000 0.000
0.000 0.500 0.000
```

=====

Preferred: version b; penalty for the next structure: 459 meV/atom.

=====

Version a
DFT (PBE+U) results for a relaxed structure of TcWOF2.

Calculated values
- symmetry = P4/mmm, No. 123

The structure in POSCAR format:
```
TcWOF2
1.0
4.255 0.000 0.000
0.000 4.255 0.000
0.000 0.000 4.233
F W Tc O
2 1 1 1
Direct
0.500 0.000 0.000
0.000 0.500 0.000
0.000 0.000 0.000
0.500 0.500 0.500
0.000 0.000 0.500
```

=====

Version b
DFT (PBE+U) results for a relaxed structure of TcWOF2.

Calculated values
- symmetry = P4/mmm, No. 123

The structure in POSCAR format:
```
TcWOF2
1.0
4.361 0.000 0.000
0.000 4.361 0.000
0.000 0.000 3.780
F Tc O W
2 1 1 1
Direct
0.000 0.500 0.000
0.500 0.000 0.000
0.000 0.000 0.000
0.000 0.000 0.500
0.500 0.500 0.500
```

=====

Preferred: version a; penalty for the next structure: 338 meV/atom.